Below is a geometry-optimized YBeRu2F structure, with properties calculated at the PBE level.

Unit cell a=4.7268 b=4.7268 c=3.3528 alpha=90.00 beta=90.00 gamma=90.00
Last column: nearest neighbours and their distance in Å.
Space group P4/mmm (No. 123)
Symmetry-distinct sites (fractional):
Y (0.0000, 0.0000, 0.0000) x1  8 Ru 2.90
Be (0.5000, 0.5000, 0.0000) x1  2 F 1.68
Ru (0.0000, 0.5000, 0.5000) x2  2 F 2.36
F (0.5000, 0.5000, 0.5000) x1  2 Be 1.68

Calculated values
Theoretical density ... 7.1 g/cm³
ΔE_f (raw) ... 0.022 eV/atom
Electronic total energy ... -30.50 eV per cell
Fermi-level density of states ... 5.126 states/eV/cell

Below is a geometry-optimized BeSF2 structure, with properties calculated at the PBE level.

Unit cell a=7.2778 b=7.2778 c=7.2778 alpha=90.00 beta=90.00 gamma=90.00
Last column: nearest neighbours and their distance in Å.
Space group Fd-3m (No. 227, origin choice 2)
Symmetry-distinct sites (fractional):
Be (0.1250, 0.1250, 0.1250) x8  4 F 1.58
S (0.1250, 0.1250, 0.6250) x8  12 F 3.02, 4 S 3.15, 4 Be 3.15
F (0.0000, 0.0000, 0.0000) x16  2 Be 1.58

Calculated values
Theoretical density ... 2.7 g/cm³
ΔE_f (raw) ... -1.738 eV/atom
Electronic total energy ... -148.39 eV per cell
Fermi-level density of states ... 9.043 states/eV/cell